! LaPr2Ho2 (PBE, optimized geometry); values from VASP
! - DFT total energy (eV per atom) = -4.595
! - relative energy among the computed polymorphs (meV/atom) = 36.1
! - DFT formation energy (eV per atom) = 0.134
! - symmetry = No. 74
&SYSTEM
  ibrav = 0, nat = 10, ntyp = 3
/
ATOMIC_SPECIES
La 138.91 La.upf
Pr 140.91 Pr.upf
Ho 164.93 Ho.upf
ATOMIC_POSITIONS angstrom
La 0.000 1.793 1.816
La 2.952 1.793 6.460
Pr 2.952 -0.024 3.157
Pr 2.952 3.561 -3.157
Pr 0.000 0.024 11.433
Pr 0.000 3.610 5.120
Ho 2.952 -1.793 6.385
Ho 2.952 1.793 -0.007
Ho 0.000 1.793 8.283
Ho 0.000 5.378 1.891
CELL_PARAMETERS angstrom
-2.952 3.585 8.276
2.952 -3.585 8.276
2.952 3.585 -8.276